Compound: GaPPd3
Source: the Alexandria database
Functional: GGA-PBE
Structure: relaxed

Energy above the lowest structure with this stoichiometry in eV per formula unit: 3.09
Total magnetization in Bohr magnetons per cell: 0.00
E_tot in eV/atom: -4.297
DFT formation energy in meV/atom: 506
Theoretical density in Mg/m³: 7.2

Cell lengths 4.600, 4.600, 4.600 Å; angles 90.00, 90.00, 90.00 degrees
Space group Pm-3m (No. 221)
Asymmetric unit:
Ga: 0.000 0.000 0.000
P: 0.500 0.500 0.500
Pd: 0.000 0.000 0.500

=====

Compound: Hf3TlBr
Source: the Alexandria database
Functional: GGA-PBE
Structure: relaxed

Energy above the lowest structure with this stoichiometry in eV per formula unit: 0.00
Total magnetization in Bohr magnetons per cell: 0.00
E_tot in eV/atom: -6.101
Energy relative to the elements, uncorrected in eV per atom: 0.68
Theoretical density in Mg/m³: 11.2

Cell lengths 4.951, 4.951, 4.951 Å; angles 90.00, 90.00, 90.00 degrees
Space group Pm-3m (No. 221)
Asymmetric unit:
Hf: 0.000 0.000 0.500
Tl: 0.500 0.500 0.500
Br: 0.000 0.000 0.000

=====

Compound: AcPr6Sm12
Source: the Alexandria database
Functional: GGA-PBE
Structure: relaxed

Energy above the lowest structure with this stoichiometry in eV per formula unit: 0.00
Total magnetization in Bohr magnetons per cell: 0.00
E_tot in eV/atom: -4.534
DFT formation energy in meV/atom: 172
Theoretical density in Mg/m³: 7.1

Cell lengths 12.5787, 12.5787, 14.8181 Å; angles 90.00, 90.00, 120.00 degrees
Space group R-3 (No. 148, hexagonal axes)
Asymmetric unit:
Ac: 0.0000 0.0000 0.0000
Pr: 0.0241 0.5828 0.7212
Sm: 0.0586 0.8720 0.8028
Sm: 0.0656 0.1956 0.4037

=====

Compound: Pr2ErThBi5
Source: the Alexandria database
Functional: GGA-PBE
Structure: relaxed

Total magnetization in Bohr magnetons per cell: 0.00
E_tot in eV/atom: -4.515
DFT formation energy in meV/atom: 35
Theoretical density in Mg/m³: 7.3

Cell lengths 5.767, 5.767, 11.857 Å; angles 90.00, 90.00, 90.00 degrees
Space group P4/mmm (No. 123)
Asymmetric unit:
Pr: 0.000 0.000 0.215
Er: 0.500 0.500 0.500
Th: 0.500 0.500 0.000
Bi: 0.000 0.000 0.500
Bi: 0.000 0.500 0.000
Bi: 0.500 0.500 0.258

=====

Compound: Ag5Au2
Source: the Alexandria database
Functional: GGA-PBE
Structure: relaxed

Energy above the lowest structure with this stoichiometry in eV per formula unit: 0.00
Total magnetization in Bohr magnetons per cell: 0.00
E_tot in eV/atom: -2.992
DFT formation energy in meV/atom: -19
Theoretical density in Mg/m³: 12.3

Cell lengths 12.901, 5.071, 7.704 Å; angles 90.00, 92.63, 90.00 degrees
Space group C2/c (No. 15)
Asymmetric unit:
Ag: 0.000 0.165 0.250
Ag: 0.143 0.166 0.965
Ag: 0.215 0.336 0.322
Au: 0.072 0.335 0.608

=====

Compound: Sm3Y3Tm
Source: the Alexandria database
Functional: GGA-PBE
Structure: relaxed

Energy above the lowest structure with this stoichiometry in eV per formula unit: 0.55
Total magnetization in Bohr magnetons per cell: 0.00
E_tot in eV/atom: -5.192
DFT formation energy in meV/atom: 240
Theoretical density in Mg/m³: 6.2

Cell lengths 8.7156, 8.7156, 21.6523 Å; angles 90.00, 90.00, 120.00 degrees
Space group R-3 (No. 148, hexagonal axes)
Asymmetric unit:
Sm: 0.0044 0.7665 0.0584
Y: 0.0551 0.6052 0.8815
Tm: 0.0000 0.0000 0.3493

=====

Compound: Ce3Pr4Se8
Source: the Alexandria database
Functional: GGA-PBE
Structure: relaxed

Energy above the lowest structure with this stoichiometry in eV per formula unit: 0.00
Total magnetization in Bohr magnetons per cell: 7.39
E_tot in eV/atom: -6.178
Energy relative to the elements, uncorrected in eV per atom: -1.86
Theoretical density in Mg/m³: 6.3

Cell lengths 11.961, 11.969, 8.455 Å; angles 90.00, 134.96, 90.00 degrees
Space group C2/m (No. 12)
Asymmetric unit:
Ce: 0.000 0.000 0.000
Ce: 0.250 0.250 0.500
Pr: 0.000 0.500 0.000
Pr: 0.000 0.500 0.500
Pr: 0.250 0.250 0.000
Se: 0.000 0.247 0.500
Se: 0.000 0.249 0.000
Se: 0.245 0.000 0.993
Se: 0.246 0.000 0.497

=====

Compound: SrCCl
Source: the Alexandria database
Functional: GGA-PBE
Structure: relaxed

Total magnetization in Bohr magnetons per cell: 0.00
E_tot in eV/atom: -5.467
Energy relative to the elements, uncorrected in eV per atom: -1.22
Theoretical density in Mg/m³: 3.1

Cell lengths 4.492, 4.521, 7.647 Å; angles 89.38, 89.39, 68.86 degrees
Space group P-1 (No. 2)
Asymmetric unit:
Sr: 0.170 0.171 0.212
C: 0.379 0.626 0.001
Cl: 0.192 0.193 0.637